[1]
Material: Tb6InCo2
Method: DFT, SCAN
State: single point on PBEsol structure

Output
Crystal system ... orthorhombic
Formation enthalpy at 0 K ... -255.6 meV/atom
Fermi-level density of states ... 0.667 states/eV/atom

Cell: 8.2515 8.2515 8.2515 Å, 112.22 109.36 106.88°
With the nearest neighbours (Å) after each atom.
Fractional coordinates of all 18 atoms:
Tb: 0.0297 0.2359 0.7938  1 Co 2.64
Tb: 0.1845 0.2859 0.4703  3 Co 2.87-3.02, 1 In 3.17
Tb: 0.1845 0.7141 0.8986  3 Co 2.87-3.02, 1 In 3.17
Tb: 0.3236 0.0114 0.6878  3 Co 2.69-2.89
Tb: 0.3236 0.6358 0.3122  3 Co 2.69-2.89
Tb: 0.4421 0.2359 0.2062  1 Co 2.64
Tb: 0.5579 0.7641 0.7938  1 Co 2.64
Tb: 0.6764 0.3642 0.6878  3 Co 2.69-2.89
Tb: 0.6764 0.9886 0.3122  3 Co 2.69-2.89
Tb: 0.8155 0.2859 0.1014  3 Co 2.87-3.02, 1 In 3.17
Tb: 0.8155 0.7141 0.5297  3 Co 2.87-3.02, 1 In 3.17
Tb: 0.9703 0.7641 0.2062  1 Co 2.64
In: 0.0000 0.0000 0.0000  8 Tb 3.04-3.17, 2 Co 3.24
In: 0.5000 0.5000 0.0000  12 Tb 3.26-3.60
Co: 0.1132 0.6132 0.5000  1 Co 2.23
Co: 0.3395 0.0000 0.3395  6 Tb 2.64-2.89
Co: 0.6605 0.0000 0.6605  6 Tb 2.64-2.89
Co: 0.8868 0.3868 0.5000  1 Co 2.23


[2]
Material: InCoTc2
Method: DFT, SCAN
State: single point on PBEsol structure

Output
Crystal system ... cubic
Formation enthalpy at 0 K ... 444.0 meV/atom
Fermi-level density of states ... 0.704 states/eV/atom

Cell: 4.3358 4.3358 4.3358 Å, 60.00 60.00 60.00°
With the nearest neighbours (Å) after each atom.
Fractional coordinates of all 4 atoms:
In: 0.0000 0.0000 0.0000  8 Tc 2.66
Co: 0.5000 0.5000 0.5000  8 Tc 2.66
Tc: 0.2500 0.2500 0.2500  4 In 2.66, 4 Co 2.66
Tc: 0.7500 0.7500 0.7500  4 In 2.66, 4 Co 2.66


[3]
Material: InCoTc
Method: DFT, SCAN
State: single point on PBEsol structure

Output
Crystal system ... cubic
Formation enthalpy at 0 K ... 1063.7 meV/atom
Fermi-level density of states ... 0.830 states/eV/atom

Cell: 4.2296 4.2296 4.2296 Å, 60.00 60.00 60.00°
With the nearest neighbours (Å) after each atom.
Fractional coordinates of all 3 atoms:
In: 0.0000 0.0000 0.0000  4 Tc 2.59, 4 Co 2.59
Co: 0.7500 0.7500 0.7500  4 In 2.59
Tc: 0.2500 0.2500 0.2500  4 In 2.59


| no. | magnetization (μB/f.u.) |
| --- | --- |
| 1 | 0.0 |
| 2 | 2.5 |
| 3 | 4.0 |